Entry 1:
# Tb3EuRu (PBE, relaxed)
data_Tb3EuRu
_cell_length_a 5.473
_cell_length_b 5.473
_cell_length_c 5.473
_cell_angle_alpha 90.00
_cell_angle_beta 90.00
_cell_angle_gamma 90.00
_space_group_name_H-M_alt 'P m -3 m'
_space_group_IT_number 221
_space_group_name_Hall '-P 4 2 3'
loop_
_atom_site_label
_atom_site_type_symbol
_atom_site_fract_x
_atom_site_fract_y
_atom_site_fract_z
_atom_site_occupancy
Tb1 Tb 0.000 0.000 0.500 1
Eu1 Eu 0.500 0.500 0.500 1
Ru1 Ru 0.000 0.000 0.000 1
# Raw total energy = -6.82 eV/atom
# DOS at the Fermi energy = 0.845 states/eV/atom
# Formation enthalpy at 0 K = -0.7 eV/f.u.

---

Entry 2:
# MnCdOs2 (PBE, relaxed)
data_MnCdOs2
_cell_length_a 7.183
_cell_length_b 7.183
_cell_length_c 5.097
_cell_angle_alpha 90.00
_cell_angle_beta 90.00
_cell_angle_gamma 90.00
_space_group_name_H-M_alt 'I -4 2 d'
_space_group_IT_number 122
_space_group_name_Hall 'I -4 2bw'
loop_
_atom_site_label
_atom_site_type_symbol
_atom_site_fract_x
_atom_site_fract_y
_atom_site_fract_z
_atom_site_occupancy
Mn1 Mn 0.000 0.000 0.000 1
Cd1 Cd 0.000 0.000 0.500 1
Os1 Os 0.186 0.250 0.125 1
# Raw total energy = -7.27 eV/atom
# DOS at the Fermi energy = 0.960 states/eV/atom
# Formation enthalpy at 0 K = 3.5 eV/f.u.

---

Entry 3:
# Na2PmDyO4 (PBE, relaxed)
data_Na2PmDyO4
_cell_length_a 5.959
_cell_length_b 3.493
_cell_length_c 6.053
_cell_angle_alpha 90.00
_cell_angle_beta 109.79
_cell_angle_gamma 90.00
_space_group_name_H-M_alt 'P 1 2/m 1'
_space_group_IT_number 10
loop_
_space_group_symop_operation_xyz
'x,y,z'
'-x,-y,-z'
'-x,y,-z'
'x,-y,z'
loop_
_atom_site_label
_atom_site_type_symbol
_atom_site_fract_x
_atom_site_fract_y
_atom_site_fract_z
_atom_site_occupancy
Na1 Na 0.000 0.000 0.000 1
Na2 Na 0.000 0.500 0.500 1
Pm1 Pm 0.500 0.000 0.500 1
Dy1 Dy 0.500 0.500 0.000 1
O1 O 0.286 0.500 0.255 1
O2 O 0.288 0.000 0.769 1
# Raw total energy = -6.70 eV/atom
# ΔE_f (raw) = -2720.5 meV per atom
# DOS at the Fermi energy = 0.000 states/eV/atom